# CeNd7Hg4

CeNd7Hg4 after structural relaxation (PBE-GGA, Alexandria).

abc: 5.818 9.202 8.033
angles: 71.11 68.77 71.57
Atoms (fractional coordinates):
Nd  0.065  0.597  0.273
Nd  0.265  0.688  0.781
Nd  0.935  0.403  0.727
Nd  0.500  0.000  0.000
Nd  0.735  0.312  0.219
Nd  0.794  0.890  0.521
Nd  0.206  0.110  0.479
Hg  0.548  0.270  0.634
Hg  0.313  0.344  0.030
Hg  0.687  0.656  0.970
Hg  0.452  0.730  0.366
Ce  0.000  0.000  0.000

Properties
**Volume**: 369.5 Å³/f.u.
**ΔE_f**: -128 meV per atom
**N(E_F)**: 17.08 states/eV per cell



# CeNdHg2

CeNdHg2 after structural relaxation (PBE-GGA, Alexandria).

abc: 5.425 5.425 5.425
angles: 60.00 60.00 60.00
Atoms (fractional coordinates):
Ce  0.500  0.500  0.500
Hg  0.250  0.250  0.250
Hg  0.750  0.750  0.750
Nd  0.000  0.000  0.000

Properties
**Volume**: 112.9 Å³/f.u.
**ΔE_f**: -375 meV per atom
**ΔE to the lowest computed polymorph**: 2 meV/atom
**N(E_F)**: 11.30 states/eV per cell



# CeNd4Hg5

CeNd4Hg5 after structural relaxation (PBE-GGA, Alexandria).

abc: 3.842 3.842 19.162
angles: 90.00 90.00 90.00
Atoms (fractional coordinates):
Nd  0.000  0.000  0.800
Nd  0.000  0.000  0.200
Nd  0.000  0.000  0.400
Nd  0.000  0.000  0.600
Hg  0.500  0.500  0.700
Hg  0.500  0.500  0.300
Hg  0.500  0.500  0.100
Hg  0.500  0.500  0.500
Hg  0.500  0.500  0.900
Ce  0.000  0.000  0.000

Properties
**Volume**: 282.8 Å³/f.u.
**ΔE_f**: -435 meV per atom
**N(E_F)**: 17.55 states/eV per cell



# Ce2NdHg2

Ce2NdHg2 after structural relaxation (PBE-GGA, Alexandria).

abc: 4.326 4.325 8.047
angles: 102.99 102.99 92.96
Atoms (fractional coordinates):
Ce  0.217  0.783  0.500
Ce  0.783  0.217  0.500
Hg  0.584  0.584  0.189
Hg  0.416  0.416  0.811
Nd  0.000  0.000  0.000

Properties
**Volume**: 142.1 Å³/f.u.
**ΔE_f**: -171 meV per atom
**N(E_F)**: 12.29 states/eV per cell



# CeNdHg2

CeNdHg2 after structural relaxation (PBE-GGA, Alexandria).

abc: 3.822 3.822 7.723
angles: 90.00 90.00 90.00
Atoms (fractional coordinates):
Nd  0.500  0.500  0.500
Hg  0.000  0.000  0.251
Hg  0.000  0.000  0.749
Ce  0.500  0.500  0.000

Properties
**Volume**: 112.8 Å³/f.u.
**ΔE_f**: -378 meV per atom
**ΔE to the lowest computed polymorph**: 0 meV/atom
**N(E_F)**: 10.80 states/eV per cell



# CeNd4Hg4

CeNd4Hg4 after structural relaxation (PBE-GGA, Alexandria).

abc: 5.916 9.458 9.458
angles: 90.00 90.00 90.00
Atoms (fractional coordinates):
Nd  0.900  0.664  0.919
Nd  0.100  0.919  0.336
Nd  0.400  0.419  0.836
Nd  0.400  0.581  0.164
Nd  0.600  0.164  0.419
Nd  0.900  0.336  0.081
Nd  0.600  0.836  0.581
Nd  0.100  0.081  0.664
Ce  0.500  0.500  0.500
Ce  0.000  0.000  0.000
Hg  0.400  0.795  0.898
Hg  0.900  0.398  0.705
Hg  0.100  0.295  0.398
Hg  0.100  0.705  0.602
Hg  0.900  0.602  0.295
Hg  0.600  0.102  0.795
Hg  0.600  0.898  0.205
Hg  0.400  0.205  0.102

Properties
**Volume**: 264.6 Å³/f.u.
**ΔE_f**: -218 meV per atom
**N(E_F)**: 28.52 states/eV per cell



volume of number 4 (Ce2NdHg2)?
142.1 Å³/f.u.